#a
DFT (PBE) results for an optimized crystal structure of Ta4NbW.

CIF file:
```
data_Ta4NbW
_chemical_formula_sum 'Ta4 Nb1 W1'
_symmetry_space_group_name_H-M 'P 1'
_symmetry_Int_Tables_number 1
_cell_length_a 4.477
_cell_length_b 4.477
_cell_length_c 6.287
_cell_angle_alpha 90.00
_cell_angle_beta 90.00
_cell_angle_gamma 90.00
loop_
_symmetry_equiv_pos_as_xyz
'x,y,z'
loop_
_atom_site_label
_atom_site_type_symbol
_atom_site_fract_x
_atom_site_fract_y
_atom_site_fract_z
Ta1 Ta 0.000 0.500 0.246
Ta2 Ta 0.000 0.500 0.754
Ta3 Ta 0.500 0.000 0.246
Ta4 Ta 0.500 0.000 0.754
Nb1 Nb 0.000 0.000 0.500
W1 W 0.500 0.500 0.000
```

***

#b
DFT (PBE) results for an optimized crystal structure of Ta4NbW.

CIF file:
```
data_Ta4NbW
_chemical_formula_sum 'Ta4 Nb1 W1'
_symmetry_space_group_name_H-M 'P 1'
_symmetry_Int_Tables_number 1
_cell_length_a 3.279
_cell_length_b 3.279
_cell_length_c 9.938
_cell_angle_alpha 90.00
_cell_angle_beta 90.00
_cell_angle_gamma 90.00
loop_
_symmetry_equiv_pos_as_xyz
'x,y,z'
loop_
_atom_site_label
_atom_site_type_symbol
_atom_site_fract_x
_atom_site_fract_y
_atom_site_fract_z
Ta1 Ta 0.000 0.000 0.159
Ta2 Ta 0.000 0.000 0.841
Ta3 Ta 0.500 0.500 0.334
Ta4 Ta 0.500 0.500 0.666
Nb1 Nb 0.000 0.000 0.500
W1 W 0.500 0.500 0.000
```

***

Of them, #a has the lowest stability.